[1]
Below is a PBEsol-optimized structure of PrLuO3, with properties calculated at the SCAN level.

It has space group Pnma (No. 62), with a = 5.938 Å, b = 8.251 Å, c = 5.703 Å, α = 90.00°, β = 90.00° and γ = 90.00°. The inequivalent atoms are Pr at (0.055, 0.250, 0.018), Lu at (0.000, 0.000, 0.500), O at (0.053, 0.750, 0.376) and O at (0.198, 0.566, 0.804).

The value obtained for the total magnetization is 0.0 μB per formula unit. For the total energy, the calculation gives -27.338 eV per atom.

[2]
Below is a PBEsol-optimized structure of Rb3LuO3, with properties calculated at the SCAN level.

It has space group C2/m (No. 12), with a = 7.523 Å, b = 12.095 Å, c = 7.087 Å, α = 90.00°, β = 99.86° and γ = 90.00°. The inequivalent atoms are Rb at (0.000, 0.204, 0.000), Rb at (0.000, 0.259, 0.500), Rb at (0.139, 0.500, 0.859), Lu at (0.176, 0.000, 0.648), O at (0.102, 0.000, 0.346) and O at (0.196, 0.361, 0.232).

Its excess energy over the best structure of this formula in the dataset is 0.009 eV/atom. The value obtained for the total magnetization is 0.1 μB per formula unit. For the total energy, the calculation gives -21.654 eV per atom.

| no. | uncorrected formation energy (eV/atom) |
| --- | --- |
| 1 | -3.86 |
| 2 | -2.19 |